A plane-wave DFT calculation with PBE was carried out for crystalline SiTeCl at its relaxed geometry.

Cell: 3.804 3.804 6.686 Å, 90.00 90.00 120.00°
Positions (direct):
Cl  0.000  0.000  0.098
Si  0.667  0.333  0.340
Te  0.333  0.667  0.563

Calculated values
* energy above the most stable polymorph in this dataset: 361 meV per atom
* density of states at the Fermi level: 1.86 states/eV per cell
* symmetry: P3m1, No. 156
* DFT total energy: -3.632 eV per atom
* mass density: 3.8 g/cm³